Cd2RePb | SCAN | PBEsol geometry

Cell: 3.060 4.753 5.436 Å, 90.00 90.00 90.00°
Element x y z (fractional)
1 Cd 0.000 0.000 0.000
2 Cd 0.500 0.500 0.000
3 Pb 0.500 0.000 0.500
4 Re 0.000 0.500 0.500

Calculated values
**SG**: Pmmm, No. 47
**DFT formation energy**: 0.825 eV/atom
**Final energy**: -51.102 eV/atom